1.
This record from the Alexandria database describes crystalline MnNb2BiRh at its relaxed geometry. The functional is PBE-GGA.

Properties
calculated formation energy: 2.256 eV per atom

```
data_MnNb2BiRh
_cell_length_a 5.151
_cell_length_b 5.151
_cell_length_c 4.827
_cell_angle_alpha 90.00
_cell_angle_beta 90.00
_cell_angle_gamma 90.00
_space_group_name_H-M_alt 'P 4/m m m'
_space_group_IT_number 123
_space_group_name_Hall '-P 4 2'
loop_
_atom_site_label
_atom_site_fract_x
_atom_site_fract_y
_atom_site_fract_z
_atom_site_occupancy
Mn1 0.000 0.000 0.000 1
Nb1 0.000 0.500 0.500 1
Bi1 0.500 0.500 0.500 1
Rh1 0.500 0.500 0.000 1
```

2.
This record from the Alexandria database describes crystalline EuGePb2 at its relaxed geometry. The functional is PBE-GGA.

Properties
polymorph energy (0 for the lowest one): 0.455 eV per atom
calculated formation energy: 0.143 eV per atom

```
data_EuGePb2
_cell_length_a 3.6914
_cell_length_b 3.6914
_cell_length_c 32.8251
_cell_angle_alpha 90.00
_cell_angle_beta 90.00
_cell_angle_gamma 120.00
_space_group_name_H-M_alt 'R -3 m'
_space_group_IT_number 166
_space_group_name_Hall '-R 3 2"'
loop_
_atom_site_label
_atom_site_fract_x
_atom_site_fract_y
_atom_site_fract_z
_atom_site_occupancy
Eu1 0.0000 0.0000 0.0000 1
Ge1 0.0000 0.0000 0.5000 1
Pb1 0.0000 0.0000 0.1008 1
```

3.
This record from the Alexandria database describes crystalline Ba3CoBr at its relaxed geometry. The functional is PBE-GGA.

Properties
polymorph energy (0 for the lowest one): 0.000 eV per atom
raw formation energy: -0.21 eV per atom

```
data_Ba3CoBr
_cell_length_a 5.933
_cell_length_b 5.933
_cell_length_c 5.933
_cell_angle_alpha 90.00
_cell_angle_beta 90.00
_cell_angle_gamma 90.00
_space_group_name_H-M_alt 'P m -3 m'
_space_group_IT_number 221
_space_group_name_Hall '-P 4 2 3'
loop_
_atom_site_label
_atom_site_fract_x
_atom_site_fract_y
_atom_site_fract_z
_atom_site_occupancy
Ba1 0.000 0.000 0.500 1
Co1 0.000 0.000 0.000 1
Br1 0.500 0.500 0.500 1
```